PmGa3Ru3 PBE relaxed; ΔE to the lowest computed polymorph = 63.6 kJ per mole of atoms; Fermi-level density of states = 7.780 states/eV/f.u.; spin magnetization = 4.1 μB/cell
1.0
0.000 5.869 5.869
5.869 0.000 5.869
5.869 5.869 0.000
Pm Ga Ru
2 6 6
Direct
0.250 0.250 0.250
0.750 0.750 0.750
0.154 0.154 0.846
0.154 0.846 0.154
0.154 0.846 0.846
0.846 0.154 0.154
0.846 0.154 0.846
0.846 0.846 0.154
0.351 0.351 0.649
0.351 0.649 0.351
0.351 0.649 0.649
0.649 0.351 0.351
0.649 0.351 0.649
0.649 0.649 0.351